[1]
This record from Alexandria describes crystalline KNa2AgPb at its relaxed geometry. The functional is GGA-PBE.

Results
The volume is 36.622 Å³ per atom. The value obtained for the energy relative to the elements is -0.005 eV per atom. The calculation puts the distance to the lowest polymorph of the same formula at 0 kJ/mol of formula units.

abc: 5.7709 5.7709 5.4983
angles: 90.00 90.00 90.00
Closest atoms and distances in Å follow each position.
Space group P4/mmm (No. 123)
Inequivalent atoms, fractional coordinates:
1 K 0.0000 0.0000 0.0000 x1  8 Na 3.99, 4 Pb 4.08
2 Na 0.0000 0.5000 0.5000 x2  2 Ag 2.89
3 Ag 0.5000 0.5000 0.5000 x1  2 Pb 2.75, 4 Na 2.89
4 Pb 0.5000 0.5000 0.0000 x1  2 Ag 2.75


[2]
This record from Alexandria describes crystalline K2RbNaAg at its relaxed geometry. The functional is GGA-PBE.

Results
The volume is 60.773 Å³ per atom. The value obtained for the energy relative to the elements is 0.086 eV per atom. The calculation puts the distance to the lowest polymorph of the same formula at 17 kJ/mol of formula units.

abc: 6.6362 6.6362 6.8999
angles: 90.00 90.00 90.00
Closest atoms and distances in Å follow each position.
Space group P4/mmm (No. 123)
Inequivalent atoms, fractional coordinates:
1 K 0.0000 0.5000 0.0000 x2  2 Ag 3.32
2 Rb 0.0000 0.0000 0.5000 x1  2 Ag 3.45
3 Na 0.5000 0.5000 0.5000 x1  4 Rb 4.69, 8 K 4.79
4 Ag 0.0000 0.0000 0.0000 x1  4 K 3.32, 2 Rb 3.45


For the records above, the corresponding total moment values read 0.0 0.0 μB per formula unit.
For the records above, the corresponding total DFT energy (no corrections) values read -2.06 -1.38 eV/atom.